HfAlSb2 | PBE-GGA | optimized geometry

POSCAR file:
```
HfAlSb2
1.0
0.000 3.600 3.600
3.600 0.000 3.600
3.600 3.600 0.000
Hf Al Sb
1 1 2
direct
0.000 0.000 0.000
0.750 0.750 0.750
0.250 0.250 0.250
0.500 0.500 0.500
```

Properties
As for the space group: No. 216. As for the total magnetization: 0.092 μB per atom. The total DFT energy (no corrections) comes out at -5.1988 eV/atom.

---

HfAl2Sb2 | PBE-GGA | optimized geometry

POSCAR file:
```
HfAl2Sb2
1.0
-1.882 1.882 8.048
1.882 -1.882 8.048
1.882 1.882 -8.048
Hf Al Sb
1 2 2
direct
0.000 0.000 0.000
0.250 0.750 0.500
0.750 0.250 0.500
0.403 0.403 0.000
0.597 0.597 0.000
```

Properties
As for the space group: No. 139. As for the total magnetization: 0.001 μB per atom. The total DFT energy (no corrections) comes out at -5.0750 eV/atom.

---

HfScAl2 | PBE-GGA | optimized geometry

POSCAR file:
```
HfScAl2
1.0
0.000 3.362 3.362
3.362 0.000 3.362
3.362 3.362 0.000
Hf Sc Al
1 1 2
direct
0.000 0.000 0.000
0.250 0.250 0.250
0.500 0.500 0.500
0.750 0.750 0.750
```

Properties
As for the space group: No. 216. As for the total magnetization: 0.000 μB per atom. The total DFT energy (no corrections) comes out at -5.9085 eV/atom.

---

HfScAl | PBE-GGA | optimized geometry

POSCAR file:
```
HfScAl
1.0
0.000 3.285 3.285
3.285 0.000 3.285
3.285 3.285 0.000
Hf Sc Al
1 1 1
direct
0.000 0.000 0.000
0.500 0.500 0.500
0.250 0.250 0.250
```

Properties
As for the space group: No. 216. As for the total magnetization: 0.000 μB per atom. The value obtained for the distance to the lowest polymorph of the same formula is 0.000 eV/atom.

---

HfAl2Si2 | PBE-GGA | optimized geometry

POSCAR file:
```
HfAl2Si2
1.0
-1.798 1.798 6.693
1.798 -1.798 6.693
1.798 1.798 -6.693
Hf Al Si
1 2 2
direct
0.000 0.000 0.000
0.399 0.399 0.000
0.601 0.601 0.000
0.250 0.750 0.500
0.750 0.250 0.500
```

Properties
As for the space group: No. 139. As for the total magnetization: 0.003 μB per atom. The total DFT energy (no corrections) comes out at -5.4805 eV/atom.

---

Hf2AlSn2 | PBE-GGA | optimized geometry

POSCAR file:
```
Hf2AlSn2
1.0
-2.008 2.008 7.309
2.008 -2.008 7.309
2.008 2.008 -7.309
Hf Al Sn
2 1 2
direct
0.097 0.097 0.000
0.903 0.903 0.000
0.500 0.500 0.000
0.250 0.750 0.500
0.750 0.250 0.500
```

Properties
As for the space group: No. 139. As for the total magnetization: 0.003 μB per atom. The total DFT energy (no corrections) comes out at -6.1534 eV/atom.

---

Copy entry 4 word for word.
HfScAl | PBE-GGA | optimized geometry

POSCAR file:
```
HfScAl
1.0
0.000 3.285 3.285
3.285 0.000 3.285
3.285 3.285 0.000
Hf Sc Al
1 1 1
direct
0.000 0.000 0.000
0.500 0.500 0.500
0.250 0.250 0.250
```

Properties
As for the space group: No. 216. As for the total magnetization: 0.000 μB per atom. The value obtained for the distance to the lowest polymorph of the same formula is 0.000 eV/atom.

---

> Which formula does entry 3 have?

HfScAl2

---

> What is the total magnetization in the third record?

0.000 μB per atom